Entry 1:
Below is crystalline LiTi4O8 at its relaxed geometry, with properties calculated at the PBEsol level.

```
LiTi4O8
1.0
5.737 -0.007 0.001
0.511 7.142 0.008
0.258 1.967 9.879
O Ti Li
24 12 3
Direct
0.728 0.138 0.902 O
0.773 0.865 0.597 O
0.047 0.800 0.352 O
0.203 0.200 0.901 O
0.274 0.859 0.101 O
0.467 0.190 0.146 O
0.976 0.140 0.150 O
0.219 0.135 0.404 O
0.029 0.867 0.845 O
0.469 0.132 0.655 O
0.784 0.543 0.483 O
0.541 0.812 0.855 O
0.784 0.812 0.101 O
0.536 0.543 0.233 O
0.278 0.541 0.979 O
0.957 0.189 0.648 O
0.972 0.460 0.270 O
0.469 0.459 0.763 O
0.224 0.460 0.516 O
0.715 0.458 0.018 O
0.298 0.799 0.599 O
0.709 0.191 0.397 O
0.031 0.541 0.735 O
0.525 0.860 0.349 O
0.515 0.688 0.043 Ti
0.496 0.007 0.497 Ti
0.775 0.698 0.291 Ti
0.011 0.691 0.552 Ti
0.279 0.696 0.794 Ti
0.735 0.311 0.207 Ti
0.971 0.306 0.459 Ti
0.255 0.012 0.246 Ti
0.002 0.990 0.003 Ti
0.484 0.309 0.951 Ti
0.748 0.001 0.752 Ti
0.224 0.304 0.705 Ti
0.995 0.430 0.931 Li
0.252 0.572 0.316 Li
0.508 0.569 0.573 Li
```

Summary:
space-group type: P1
relative energy among the computed polymorphs: 0 meV/atom
electronic total energy: -8.8854 eV per atom
Fermi-level density of states: 15.3 states/eV per cell

Entry 2:
Below is crystalline LiTi4O8 at its relaxed geometry, with properties calculated at the PBEsol level.

```
LiTi4O8
1.0
2.942 0.000 0.000
0.000 5.004 -0.002
0.000 -0.190 9.510
O Ti Li
8 4 1
Direct
0.000 0.797 0.034 O
0.500 0.301 0.470 O
0.000 0.331 0.729 O
0.500 0.837 0.771 O
0.500 0.682 0.281 O
0.000 0.712 0.531 O
0.000 0.160 0.232 O
0.500 0.196 0.969 O
0.000 0.045 0.862 Ti
0.500 0.533 0.645 Ti
0.000 0.460 0.357 Ti
0.500 0.952 0.132 Ti
0.500 0.933 0.457 Li
```

Summary:
space-group type: Pm
relative energy among the computed polymorphs: 21 meV/atom
electronic total energy: -8.8648 eV per atom
Fermi-level density of states: 5.0 states/eV per cell

Entry 3:
Below is crystalline Li7Ti16O32 at its relaxed geometry, with properties calculated at the PBEsol level.

```
Li7Ti16O32
1.0
8.360 0.000 0.000
0.000 8.360 0.000
-4.180 -4.180 8.357
O Ti Li
32 16 7
Direct
0.419 0.419 0.612 O
0.944 0.444 0.113 O
0.456 0.955 0.636 O
0.544 0.318 0.364 O
0.181 0.682 0.636 O
0.318 0.544 0.364 O
0.694 0.694 0.614 O
0.306 0.080 0.386 O
0.056 0.331 0.887 O
0.080 0.306 0.386 O
0.920 0.920 0.614 O
0.169 0.669 0.113 O
0.581 0.807 0.388 O
0.682 0.181 0.636 O
0.795 0.069 0.863 O
0.444 0.944 0.113 O
0.430 0.430 0.141 O
0.955 0.456 0.636 O
0.711 0.711 0.141 O
0.289 0.570 0.859 O
0.045 0.819 0.364 O
0.819 0.045 0.364 O
0.069 0.795 0.863 O
0.556 0.831 0.887 O
0.831 0.556 0.887 O
0.205 0.205 0.137 O
0.193 0.193 0.612 O
0.570 0.289 0.859 O
0.331 0.056 0.887 O
0.931 0.931 0.137 O
0.669 0.169 0.113 O
0.807 0.581 0.388 O
0.438 0.188 0.626 Ti
0.689 0.938 0.626 Ti
0.438 0.190 0.124 Ti
0.810 0.314 0.876 Ti
0.562 0.066 0.876 Ti
0.190 0.438 0.124 Ti
0.066 0.562 0.876 Ti
0.562 0.562 0.374 Ti
0.062 0.062 0.374 Ti
0.188 0.438 0.626 Ti
0.311 0.311 0.374 Ti
0.314 0.810 0.876 Ti
0.686 0.934 0.124 Ti
0.938 0.689 0.626 Ti
0.812 0.812 0.374 Ti
0.934 0.686 0.124 Ti
0.376 0.873 0.248 Li
0.250 0.750 0.500 Li
0.127 0.127 0.752 Li
0.750 0.250 0.500 Li
0.873 0.376 0.248 Li
0.624 0.624 0.752 Li
0.000 0.000 0.000 Li
```

Summary:
space-group type: I-42m
relative energy among the computed polymorphs: 0 meV/atom
electronic total energy: -8.6210 eV per atom
Fermi-level density of states: 20.2 states/eV per cell

Entry 4:
Below is crystalline Li8TiO6 at its relaxed geometry, with properties calculated at the PBEsol level.

```
Li8TiO6
1.0
5.516 0.000 0.000
-2.758 4.777 0.000
0.000 0.000 10.747
Li Ti O
16 2 12
Direct
0.667 0.333 0.594 Li
0.000 0.313 0.732 Li
0.000 0.687 0.232 Li
0.000 0.402 0.373 Li
0.402 0.402 0.873 Li
0.687 0.687 0.732 Li
0.667 0.333 0.094 Li
0.313 0.313 0.232 Li
0.313 0.000 0.732 Li
0.333 0.667 0.094 Li
0.598 0.000 0.873 Li
0.598 0.598 0.373 Li
0.333 0.667 0.594 Li
0.687 0.000 0.232 Li
0.402 0.000 0.373 Li
0.000 0.598 0.873 Li
0.000 0.000 0.003 Ti
0.000 0.000 0.503 Ti
0.333 0.667 0.784 O
0.667 0.333 0.784 O
0.315 0.315 0.051 O
0.333 0.667 0.284 O
0.000 0.685 0.051 O
0.315 0.000 0.551 O
0.000 0.000 0.332 O
0.667 0.333 0.284 O
0.685 0.685 0.551 O
0.685 0.000 0.051 O
0.000 0.315 0.551 O
0.000 0.000 0.832 O
```

Summary:
space-group type: P6_3cm
electronic total energy: -5.8825 eV per atom
Fermi-level density of states: 0.0 states/eV per cell